[1]
First-principles (PBE) data for a relaxed structure of HfSiAs2Br, as listed in Alexandria via LeMat-Bulk.

Summary:
The calculation puts the excess energy over the best structure of this formula in the dataset at 0.000 eV per atom. The total magnetic moment is 0.000 μB/f.u. Its formation energy (no corrections) is 0.356 eV/atom. For the density of states at the Fermi level, the calculation gives 3.273 states/eV/cell.

Cell: 5.2143 5.2143 5.1030 Å, 90.00 90.00 90.00°
With the nearest neighbours (Å) after each atom.
Positions (direct):
Hf 0.0000 0.0000 0.0000  2 Br 2.55, 4 As 2.61
Si 0.5000 0.5000 0.5000  8 As 3.65, 4 Br 3.69
As 0.0000 0.5000 0.0000  2 Hf 2.61
As 0.5000 0.0000 0.0000  2 Hf 2.61
Br 0.0000 0.0000 0.5000  2 Hf 2.55

---

[2]
First-principles (PBE) data for a relaxed structure of Y2InNiH, as listed in Alexandria via LeMat-Bulk.

Summary:
The calculation puts the final energy at -5.36 eV/atom. The total magnetic moment is 0.000 μB/f.u. For the density of states at the Fermi level, the calculation gives 3.551 states/eV/cell.

Cell: 5.1079 5.1079 3.6287 Å, 90.00 90.00 90.00°
With the nearest neighbours (Å) after each atom.
Positions (direct):
Y 0.0000 0.5000 0.0000  2 H 2.55
Y 0.5000 0.0000 0.0000  2 H 2.55
In 0.0000 0.0000 0.5000  8 Y 3.13
Ni 0.5000 0.5000 0.5000  2 H 1.81
H 0.5000 0.5000 0.0000  2 Ni 1.81

---

Number 2 is which compound?
Y2InNiH